Entry 1:
In2GaSn4 | PBE | relaxed

Geometry as POSCAR:
```
In2GaSn4
1.0
0.000 4.592 7.520
3.254 0.000 7.520
3.254 4.592 0.000
In Ga Sn
2 1 4
direct
0.116 0.116 0.884
0.884 0.884 0.116
0.500 0.500 0.500
0.000 0.000 0.500
0.317 0.317 0.683
0.500 0.500 0.000
0.683 0.683 0.317
```

Space-group type: Fmmm (69)
DFT total energy (eV per atom): -3.2194



Entry 2:
UFe2Co | PBE | relaxed

Geometry as POSCAR:
```
UFe2Co
1.0
3.767 0.000 0.000
0.000 3.767 0.000
0.000 0.000 3.677
U Fe Co
1 2 1
direct
0.000 0.000 0.000
0.000 0.500 0.500
0.500 0.000 0.500
0.500 0.500 0.000
```

Space-group type: P4/mmm (123)
DFT total energy (eV per atom): -8.9522



Entry 3:
CaTmRuRh | PBE | relaxed

Geometry as POSCAR:
```
CaTmRuRh
1.0
0.000 3.380 3.380
3.380 0.000 3.380
3.380 3.380 0.000
Ca Tm Ru Rh
1 1 1 1
direct
0.000 0.000 0.000
0.500 0.500 0.500
0.250 0.250 0.250
0.750 0.750 0.750
```

Space-group type: F-43m (216)
DFT total energy (eV per atom): -6.0576



Entry 4:
V3CuP | PBE | relaxed

Geometry as POSCAR:
```
V3CuP
1.0
4.330 0.000 0.000
0.000 4.330 0.000
0.000 0.000 4.330
V Cu P
3 1 1
direct
0.000 0.000 0.500
0.000 0.500 0.000
0.500 0.000 0.000
0.500 0.500 0.500
0.000 0.000 0.000
```

Space-group type: Pm-3m (221)
Distance to the lowest polymorph of the same formula (meV/atom): 0



Entry 5:
Nb2NiAu2 | PBE | relaxed

Geometry as POSCAR:
```
Nb2NiAu2
1.0
-1.861 1.861 6.887
1.861 -1.861 6.887
1.861 1.861 -6.887
Nb Ni Au
2 1 2
direct
0.084 0.084 0.000
0.916 0.916 0.000
0.500 0.500 0.000
0.250 0.750 0.500
0.750 0.250 0.500
```

Space-group type: I4/mmm (139)
Distance to the lowest polymorph of the same formula (meV/atom): 103



Entry 6:
LiBSeN2 | PBE | relaxed

Geometry as POSCAR:
```
LiBSeN2
1.0
3.383 0.000 0.000
0.000 3.383 0.000
0.000 0.000 6.094
Li B Se N
1 1 1 2
direct
0.000 0.000 0.000
0.500 0.500 0.500
0.000 0.000 0.500
0.000 0.500 0.000
0.500 0.000 0.000
```

Space-group type: P4/mmm (123)
Formation energy without anion corrections (eV per formula unit): 10.8
Distance to the lowest polymorph of the same formula (meV/atom): 1377



| no. | size of the total moment (μB/atom) |
| --- | --- |
| 1 | 0.000 |
| 2 | 0.000 |
| 3 | 0.000 |
| 4 | 0.639 |
| 5 | 0.000 |
| 6 | 0.409 |